Entry 1:
A plane-wave DFT calculation with PBE was carried out for RhO after structural relaxation.

```
RhO
1.0
8.4501 0.0000 0.0000
0.0000 3.7152 0.0000
0.0000 0.0000 5.1881
Rh O
6 6
Cartesian
0.0000 0.0620 0.0000 Rh
2.0446 2.2346 3.3821 Rh
2.1805 1.4806 0.7881 Rh
4.2251 3.6532 2.5940 Rh
6.2697 1.4806 0.7881 Rh
6.4055 2.2346 3.3821 Rh
0.0000 1.7072 3.9867 O
1.9330 3.3172 0.0119 O
2.2920 0.3980 2.6060 O
4.2251 2.0080 1.3927 O
6.1581 0.3980 2.6060 O
6.5171 3.3172 0.0119 O
```

## Properties
ΔE_f (raw) = -0.13 eV/f.u.
D(E_F) = 8.89 states/eV/cell
total magnetic moment = 0.0 μB per formula unit

Entry 2:
A plane-wave DFT calculation with PBE was carried out for RuRh3O after structural relaxation.

```
RuRh3O
1.0
4.6726 0.0000 0.0000
0.0000 4.6726 0.0000
0.0000 0.0000 4.6726
Ru Rh O
1 3 1
Cartesian
0.0000 0.0000 0.0000 Ru
0.0000 0.0000 2.3363 Rh
0.0000 2.3363 0.0000 Rh
2.3363 0.0000 0.0000 Rh
2.3363 2.3363 2.3363 O
```

## Properties
ΔE_f (raw) = 9.30 eV/f.u.
D(E_F) = 7.36 states/eV/cell
total magnetic moment = 2.1 μB per formula unit

Repeat the second record exactly.
A plane-wave DFT calculation with PBE was carried out for RuRh3O after structural relaxation.

```
RuRh3O
1.0
4.6726 0.0000 0.0000
0.0000 4.6726 0.0000
0.0000 0.0000 4.6726
Ru Rh O
1 3 1
Cartesian
0.0000 0.0000 0.0000 Ru
0.0000 0.0000 2.3363 Rh
0.0000 2.3363 0.0000 Rh
2.3363 0.0000 0.0000 Rh
2.3363 2.3363 2.3363 O
```

## Properties
ΔE_f (raw) = 9.30 eV/f.u.
D(E_F) = 7.36 states/eV/cell
total magnetic moment = 2.1 μB per formula unit

Q: Which formula does entry 1 have?
A: RhO